Compound: CsNi2C2O6
Source: Alexandria
Functional: GGA+U
Structure: optimized geometry

Results
V (Å³/atom): 16.0
Density (g/cm³): 3.49
SG: P-1 (2)
DFT total energy (eV/atom): -6.114

Unit cell a=5.273 b=5.357 c=7.362 alpha=71.17 beta=69.77 gamma=67.98
Fractional positions:
Cs (0.000, 0.000, 0.000)
Ni (0.247, 0.747, 0.518)
Ni (0.753, 0.253, 0.482)
C (0.239, 0.314, 0.372)
C (0.761, 0.686, 0.628)
O (0.122, 0.366, 0.233)
O (0.162, 0.143, 0.542)
O (0.421, 0.436, 0.356)
O (0.579, 0.564, 0.644)
O (0.838, 0.857, 0.458)
O (0.878, 0.634, 0.767)